1.
Y2Tl3 (PBE, relaxed); excess energy over the best structure of this formula in the dataset = 12.0 kJ/mol of atoms; magnetization = 0.0 Bohr magnetons per cell; DOS(E_F) = 2.4 states/eV/f.u.; space group = P-3m1, No. 164; crystal system = trigonal; E_form = -0.19 eV per atom
1.0
5.1970 0.0000 0.0000
-2.5985 4.5007 0.0000
0.0000 0.0000 6.5425
Y Tl
2 3
Direct
0.3333 0.6667 0.3305
0.6667 0.3333 0.6695
0.0000 0.0000 0.5000
0.3333 0.6667 0.8555
0.6667 0.3333 0.1445

=====

2.
ReTe2Br (PBE, relaxed); uncorrected formation energy = 108 kJ per mole of atoms; excess energy over the best structure of this formula in the dataset = 112.2 kJ/mol of atoms; magnetization = 0.7 Bohr magnetons per cell; DOS(E_F) = 4.1 states/eV/f.u.; space group = Cmmm, No. 65; crystal system = orthorhombic
1.0
2.9407 -4.4975 0.0000
2.9407 4.4975 0.0000
0.0000 0.0000 3.3792
Re Te Br
1 2 1
Direct
0.0000 0.0000 0.0000
0.0000 0.5000 0.5000
0.5000 0.0000 0.5000
0.5000 0.5000 0.0000

=====

3.
Li6MgSi2 (PBE, relaxed); uncorrected formation energy = -19 kJ per mole of atoms; excess energy over the best structure of this formula in the dataset = 0.0 kJ/mol of atoms; magnetization = 0.0 Bohr magnetons per cell; DOS(E_F) = 0.9 states/eV/f.u.; space group = Pnnm, No. 58; crystal system = orthorhombic
1.0
7.8396 0.0000 0.0000
0.0000 7.9291 0.0000
0.0000 0.0000 4.3441
Li Mg Si
12 2 4
Direct
0.0207 0.1742 0.0000
0.1595 0.0673 0.5000
0.1906 0.3835 0.5000
0.3094 0.8835 0.0000
0.3405 0.5673 0.0000
0.4793 0.6742 0.5000
0.5207 0.3258 0.5000
0.6595 0.4327 0.0000
0.6906 0.1165 0.0000
0.8094 0.6165 0.5000
0.8405 0.9327 0.5000
0.9793 0.8258 0.0000
0.0000 0.5000 0.0000
0.5000 0.0000 0.5000
0.1481 0.7238 0.5000
0.3519 0.2238 0.0000
0.6481 0.7762 0.0000
0.8519 0.2762 0.5000

=====

4.
CeHgPd3 (PBE, relaxed); magnetization = 2.9 Bohr magnetons per cell; DOS(E_F) = 6.8 states/eV/f.u.; space group = Cmcm, No. 63; crystal system = orthorhombic; E_form = -0.31 eV per atom
1.0
5.9375 -4.4284 0.0000
5.9375 4.4284 0.0000
0.0000 0.0000 9.0037
Ce Hg Pd
4 4 12
Direct
0.0136 0.9864 0.7500
0.4193 0.5807 0.2500
0.5807 0.4193 0.7500
0.9864 0.0136 0.2500
0.0000 0.5000 0.0000
0.0000 0.5000 0.5000
0.5000 0.0000 0.0000
0.5000 0.0000 0.5000
0.1746 0.5817 0.7500
0.2128 0.7872 0.0086
0.2128 0.7872 0.4914
0.3783 0.3783 0.0000
0.3783 0.3783 0.5000
0.4183 0.8254 0.7500
0.5817 0.1746 0.2500
0.6217 0.6217 0.0000
0.6217 0.6217 0.5000
0.7872 0.2128 0.5086
0.7872 0.2128 0.9914
0.8254 0.4183 0.2500

=====

5.
Al2AsC (PBE, relaxed); excess energy over the best structure of this formula in the dataset = 0.0 kJ/mol of atoms; magnetization = 0.0 Bohr magnetons per cell; DOS(E_F) = 1.7 states/eV/f.u.; space group = I-42d, No. 122; crystal system = tetragonal; E_form = 0.02 eV per atom
1.0
-2.6512 2.6512 4.8098
2.6512 -2.6512 4.8098
2.6512 2.6512 -4.8098
Al As C
4 2 2
Direct
0.0349 0.6250 0.9099
0.3750 0.2849 0.4099
0.7151 0.1250 0.0901
0.8750 0.9651 0.5901
0.2500 0.7500 0.5000
0.5000 0.5000 0.0000
0.0000 0.0000 0.0000
0.7500 0.2500 0.5000

=====

6.
Sm8Tl4Hg3 (PBE, relaxed); magnetization = 0.0 Bohr magnetons per cell; DOS(E_F) = 18.2 states/eV/f.u.; space group = C2/m, No. 12; crystal system = monoclinic; E_form = -0.18 eV per atom
1.0
6.3276 -6.2878 0.0000
6.3276 6.2878 0.0000
-4.2356 0.0000 6.0197
Sm Tl Hg
8 4 3
Direct
0.1700 0.8300 0.0000
0.2397 0.2397 0.4890
0.2417 0.2417 0.9959
0.2460 0.7540 0.5000
0.7540 0.2460 0.5000
0.7583 0.7583 0.0041
0.7603 0.7603 0.5110
0.8300 0.1700 0.0000
0.0000 0.5000 0.0000
0.5000 0.0000 0.0000
0.5000 0.5000 0.0000
0.5000 0.5000 0.5000
0.0000 0.0000 0.5000
0.0000 0.5000 0.5000
0.5000 0.0000 0.5000

=====

The lowest DOS(E_F) belongs to which entry? Li6MgSi2

=====

Which of these has the lowest DOS(E_F)? Li6MgSi2

=====

magnetization of number 3 (Li6MgSi2)? 0.0 Bohr magnetons per cell

=====

Look up the magnetization of the fourth one. 2.9 Bohr magnetons per cell